No. 1
# GGA-PBE Pm3Al3Cd2, relaxed
data_Pm3Al3Cd2
_cell_length_a 4.639
_cell_length_b 6.111
_cell_length_c 15.246
_cell_angle_alpha 90.00
_cell_angle_beta 90.00
_cell_angle_gamma 112.31
_symmetry_space_group_name_H-M 'P 1'
_symmetry_Int_Tables_number 1
loop_
_symmetry_equiv_pos_as_xyz
'x,y,z'
loop_
_atom_site_label
_atom_site_type_symbol
_atom_site_fract_x
_atom_site_fract_y
_atom_site_fract_z
Al1 Al 0.398 0.796 0.958
Al2 Al 0.602 0.204 0.042
Al3 Al 0.398 0.796 0.542
Al4 Al 0.647 0.294 0.750
Al5 Al 0.602 0.204 0.458
Al6 Al 0.353 0.706 0.250
Cd1 Cd 0.788 0.575 0.907
Cd2 Cd 0.212 0.425 0.093
Cd3 Cd 0.788 0.575 0.593
Cd4 Cd 0.212 0.425 0.407
Pm1 Pm 0.645 0.290 0.250
Pm2 Pm 0.082 0.164 0.886
Pm3 Pm 0.355 0.710 0.750
Pm4 Pm 0.918 0.836 0.386
Pm5 Pm 0.918 0.836 0.114
Pm6 Pm 0.082 0.164 0.614
# **M_tot**: 0.9 μB per cell
# **N(E_F)**: 0.6769 states/eV/atom
# **Energy of formation**: -36.2 kJ per mole of atoms



No. 2
# GGA-PBE PmCu2Sb2, relaxed
data_PmCu2Sb2
_cell_length_a 7.163
_cell_length_b 7.163
_cell_length_c 6.568
_cell_angle_alpha 118.17
_cell_angle_beta 118.17
_cell_angle_gamma 96.71
_symmetry_space_group_name_H-M 'P 1'
_symmetry_Int_Tables_number 1
loop_
_symmetry_equiv_pos_as_xyz
'x,y,z'
loop_
_atom_site_label
_atom_site_type_symbol
_atom_site_fract_x
_atom_site_fract_y
_atom_site_fract_z
Cu1 Cu 0.220 0.480 0.450
Cu2 Cu 0.780 0.520 0.550
Cu3 Cu 0.520 0.780 0.050
Cu4 Cu 0.480 0.220 0.950
Sb1 Sb 0.423 0.577 0.250
Sb2 Sb 0.165 0.835 0.750
Sb3 Sb 0.835 0.165 0.250
Sb4 Sb 0.577 0.423 0.750
Pm1 Pm 0.872 0.128 0.750
Pm2 Pm 0.128 0.872 0.250
# **M_tot**: 0.0 μB per cell
# **N(E_F)**: 0.3890 states/eV/atom
# **ΔE_f (raw)**: -1.7 eV/f.u.
# **Excess energy over the best structure of this formula in the dataset**: 0.1664 eV per atom



No. 3
# GGA-PBE V2CrIn, relaxed
data_V2CrIn
_cell_length_a 3.750
_cell_length_b 3.750
_cell_length_c 9.855
_cell_angle_alpha 79.03
_cell_angle_beta 79.03
_cell_angle_gamma 90.00
_symmetry_space_group_name_H-M 'P 1'
_symmetry_Int_Tables_number 1
loop_
_symmetry_equiv_pos_as_xyz
'x,y,z'
loop_
_atom_site_label
_atom_site_type_symbol
_atom_site_fract_x
_atom_site_fract_y
_atom_site_fract_z
V1 V 0.375 0.393 0.750
V2 V 0.607 0.125 0.250
V3 V 0.143 0.625 0.250
V4 V 0.875 0.857 0.750
In1 In 0.000 0.000 0.000
In2 In 0.750 0.250 0.500
Cr1 Cr 0.500 0.500 0.000
Cr2 Cr 0.250 0.750 0.500
# **M_tot**: 2.7 μB per cell
# **N(E_F)**: 1.1423 states/eV/atom
# **Energy of formation**: 74.2 kJ per mole of atoms
# **Excess energy over the best structure of this formula in the dataset**: 0.6798 eV per atom



No. 4
# GGA-PBE LaInMo2, relaxed
data_LaInMo2
_cell_length_a 2.985
_cell_length_b 2.985
_cell_length_c 9.615
_cell_angle_alpha 90.00
_cell_angle_beta 90.00
_cell_angle_gamma 108.93
_symmetry_space_group_name_H-M 'P 1'
_symmetry_Int_Tables_number 1
loop_
_symmetry_equiv_pos_as_xyz
'x,y,z'
loop_
_atom_site_label
_atom_site_type_symbol
_atom_site_fract_x
_atom_site_fract_y
_atom_site_fract_z
Mo1 Mo 0.000 0.000 0.484
Mo2 Mo 0.000 0.000 0.016
In1 In 0.500 0.500 0.250
La1 La 0.500 0.500 0.750
# **M_tot**: 0.0 μB per cell
# **N(E_F)**: 1.1766 states/eV/atom
# **Energy of formation**: 61.6 kJ per mole of atoms



No. 5
# GGA-PBE Dy5Te5Pt, relaxed
data_Dy5Te5Pt
_cell_length_a 6.140
_cell_length_b 7.549
_cell_length_c 8.575
_cell_angle_alpha 107.26
_cell_angle_beta 90.00
_cell_angle_gamma 114.00
_symmetry_space_group_name_H-M 'P 1'
_symmetry_Int_Tables_number 1
loop_
_symmetry_equiv_pos_as_xyz
'x,y,z'
loop_
_atom_site_label
_atom_site_type_symbol
_atom_site_fract_x
_atom_site_fract_y
_atom_site_fract_z
Dy1 Dy 0.500 0.000 0.000
Dy2 Dy 0.152 0.304 0.312
Dy3 Dy 0.151 0.303 0.846
Dy4 Dy 0.848 0.696 0.688
Dy5 Dy 0.849 0.697 0.154
Te1 Te 0.318 0.637 0.666
Te2 Te 0.334 0.668 0.174
Te3 Te 0.000 0.000 0.500
Te4 Te 0.682 0.363 0.334
Te5 Te 0.666 0.332 0.826
Pt1 Pt 0.000 0.000 0.000
# **M_tot**: 0.0 μB per cell
# **N(E_F)**: 0.8656 states/eV/atom
# **ΔE_f (raw)**: -14.4 eV/f.u.



No. 6
# GGA-PBE YCd2Re, relaxed
data_YCd2Re
_cell_length_a 4.336
_cell_length_b 3.001
_cell_length_c 7.128
_cell_angle_alpha 64.43
_cell_angle_beta 90.00
_cell_angle_gamma 90.00
_symmetry_space_group_name_H-M 'P 1'
_symmetry_Int_Tables_number 1
loop_
_symmetry_equiv_pos_as_xyz
'x,y,z'
loop_
_atom_site_label
_atom_site_type_symbol
_atom_site_fract_x
_atom_site_fract_y
_atom_site_fract_z
Cd1 Cd 0.500 0.242 0.257
Cd2 Cd 0.000 0.975 0.023
Re1 Re 0.000 0.510 0.493
Y1 Y 0.500 0.773 0.727
# **M_tot**: 0.0 μB per cell
# **N(E_F)**: 0.5066 states/eV/atom
# **Energy of formation**: 32.2 kJ per mole of atoms
# **Excess energy over the best structure of this formula in the dataset**: 0.0931 eV per atom



Q: Look up the N(E_F) of the fifth one.
A: 0.8656 states/eV/atom